Material: Nd2YMg2
Method: DFT, PBE
State: relaxed

Geometry as POSCAR:
```
Nd2YMg2
1.0
-2.655 -0.394 2.750
-2.070 -4.363 -2.622
10.092 -8.308 5.856
Nd Y Mg
4 2 4
Cartesian
-0.766 -4.035 -1.318 Nd
6.134 -9.029 7.301 Nd
2.595 -7.294 1.451 Nd
2.773 -5.770 4.533 Nd
3.272 -9.438 4.483 Y
2.096 -3.627 1.501 Y
-0.428 -5.847 1.430 Mg
5.796 -7.217 4.554 Mg
6.260 -10.855 4.483 Mg
-0.892 -2.209 1.501 Mg
```

Energy of formation from the pure elements   -0.079 eV/atom
Space group   Cmcm (63)
Distance to the lowest polymorph of the same formula   0 meV/atom